VASP calculation (PBE-GGA) on a relaxed Si2As2I crystal.

```
data_Si2As2I
_cell_length_a 4.154
_cell_length_b 4.154
_cell_length_c 7.486
_cell_angle_alpha 73.89
_cell_angle_beta 73.89
_cell_angle_gamma 90.00
_space_group_name_H-M_alt 'P 1'
_space_group_IT_number 1
_space_group_name_Hall 'P 1'
loop_
_atom_site_label
_atom_site_fract_x
_atom_site_fract_y
_atom_site_fract_z
Si1 0.250 0.750 0.500
Si2 0.750 0.250 0.500
As1 0.641 0.641 0.719
I1 0.000 0.000 0.000
As2 0.359 0.359 0.281
```

Properties
DOS at the Fermi energy in states/eV per cell: 0.9
Energy above the lowest structure with this stoichiometry in meV/atom: 0
Spin magnetization in Bohr magnetons per cell: 0.00
Formation energy from raw total energies in eV/atom: 0.166
Energy in eV/cell: -20.863